[1]
## LiSb2Cl (PBE)

Data for LiSb2Cl after structural relaxation.

Cell lengths 20.4823, 3.6079, 3.6220 Å; angles 90.00, 99.58, 90.00 degrees
With the nearest neighbours (Å) after each atom.
Space group C2/m (No. 12)
One atom of each set of equivalent atoms:
Li: 0.0000 0.0000 0.0000  4 Cl 2.56
Sb: 0.2109 0.5000 0.1987  4 Sb 2.94-3.07
Cl: 0.0000 0.5000 0.5000  4 Li 2.56

Final energy   -3.67 eV per atom
ΔE to the lowest computed polymorph   149 meV/atom
ΔE_f (raw)   -2.67 eV/f.u.

[2]
## BaAcAg10 (PBE)

Data for BaAcAg10 after structural relaxation.

Cell lengths 4.6680, 5.8874, 10.0692 Å; angles 90.00, 90.00, 90.00 degrees
With the nearest neighbours (Å) after each atom.
Space group Pmmm (No. 47)
One atom of each set of equivalent atoms:
Ba: 0.0000 0.0000 0.0000  18 Ag 3.40-3.79
Ac: 0.0000 0.5000 0.5000  14 Ag 3.32-3.68
Ag: 0.0000 0.0000 0.3374  6 Ag 2.85-2.89
Ag: 0.0000 0.5000 0.1706  6 Ag 2.88-2.90
Ag: 0.5000 0.0000 0.5000  8 Ag 2.85-2.87
Ag: 0.5000 0.2546 0.2564  8 Ag 2.87-3.00
Ag: 0.5000 0.5000 0.0000  8 Ag 2.90-2.96

Final energy   -3.04 eV per atom
ΔE_f   -0.1571 eV/atom

[3]
## Na10B13C7 (PBE)

Data for Na10B13C7 after structural relaxation.

Cell lengths 17.7990, 2.8267, 13.2579 Å; angles 90.00, 113.50, 90.00 degrees
With the nearest neighbours (Å) after each atom.
Space group Cm (No. 8)
One atom of each set of equivalent atoms:
Na: 0.0000 0.0000 0.0000  7 B 2.66-2.79, 5 C 2.66-2.75, 6 Na 2.83-2.92
Na: 0.0005 0.0000 0.4942  9 B 2.66-2.79, 3 C 2.71-2.79, 6 Na 2.83-2.93
Na: 0.1005 0.5000 0.1975  6 C 2.64-2.70, 6 B 2.66-2.71, 6 Na 2.83-2.88
Na: 0.1027 0.5000 0.6964  11 B 2.67-2.93, 1 C 2.76, 6 Na 2.83-2.93
Na: 0.2001 0.0000 0.3953  7 B 2.61-2.74, 5 C 2.68-2.72, 6 Na 2.83-2.91
Na: 0.2034 0.0000 0.8992  7 B 2.62-2.77, 5 C 2.64-2.75, 6 Na 2.83-2.93
Na: 0.2992 0.5000 0.5968  10 B 2.65-2.80, 2 C 2.79-2.85, 6 Na 2.83-2.92
Na: 0.3021 0.5000 0.0982  6 B 2.66-2.68, 6 C 2.66-2.69, 6 Na 2.83-2.89
Na: 0.4008 0.0000 0.2949  6 B 2.61-2.71, 6 C 2.65-2.72, 6 Na 2.83-2.90
Na: 0.4008 0.0000 0.7980  9 B 2.62-2.89, 3 C 2.66-2.76, 6 Na 2.83-2.92
B: 0.0321 0.0000 0.3085  3 C 1.63-1.65
B: 0.0351 0.0000 0.8159  3 B 1.66-1.78
B: 0.0779 0.5000 0.9018  1 C 1.54
B: 0.1289 0.5000 0.5010  1 C 1.63, 2 B 1.75
B: 0.1694 0.0000 0.5818  3 B 1.75-1.83
B: 0.1708 0.0000 0.0871  3 C 1.59-1.63
B: 0.2408 0.0000 0.7267  2 C 1.63
B: 0.2653 0.5000 0.2745  3 C 1.61-1.62
B: 0.3372 0.5000 0.9213  3 C 1.63-1.66
B: 0.3596 0.0000 0.4631  2 C 1.61, 1 B 1.73
B: 0.4268 0.0000 0.5998  3 B 1.73-1.78
B: 0.4344 0.0000 0.1150  3 C 1.63-1.65
B: 0.4697 0.5000 0.6849  3 B 1.66-1.78
C: 0.0647 0.5000 0.3729  3 B 1.63
C: 0.1388 0.5000 0.0235  3 B 1.54-1.63
C: 0.2339 0.0000 0.2126  3 B 1.59-1.62
C: 0.2720 0.5000 0.7903  3 B 1.63-1.66
C: 0.3295 0.5000 0.4012  3 B 1.61
C: 0.3688 0.0000 0.9853  3 B 1.63-1.65
C: 0.4668 0.5000 0.1790  3 B 1.63-1.65

Final energy   -5.40 eV per atom
ΔE_f   0.0892 eV/atom
ΔE to the lowest computed polymorph   4 meV/atom

[4]
## Rb2PdIO (PBE)

Data for Rb2PdIO after structural relaxation.

Cell lengths 6.2598, 6.2598, 3.9403 Å; angles 90.00, 90.00, 90.00 degrees
With the nearest neighbours (Å) after each atom.
Space group P4/mmm (No. 123)
One atom of each set of equivalent atoms:
Rb: 0.0000 0.5000 0.0000  2 O 3.13
Pd: 0.0000 0.0000 0.5000  2 O 1.97
I: 0.5000 0.5000 0.5000  8 Rb 3.70, 2 I 3.94
O: 0.0000 0.0000 0.0000  2 Pd 1.97

Final energy   -3.67 eV per atom
ΔE_f (raw)   -4.72 eV/f.u.

[5]
## ZnIn2Cl (PBE)

Data for ZnIn2Cl after structural relaxation.

Cell lengths 3.4780, 3.4780, 29.0771 Å; angles 90.00, 90.00, 120.00 degrees
With the nearest neighbours (Å) after each atom.
Space group R3m (No. 160, hexagonal axes)
One atom of each set of equivalent atoms:
Zn: 0.0000 0.0000 0.0000  3 Cl 2.51
In: 0.0000 0.0000 0.2590  3 Zn 2.95
In: 0.0000 0.0000 0.4989  9 In 3.38-3.48
Cl: 0.0000 0.0000 0.7182  3 Zn 2.51

Final energy   -2.41 eV per atom
ΔE to the lowest computed polymorph   0 meV/atom
ΔE_f (raw)   -1.04 eV/f.u.

[6]
## NdDy3Ho3 (PBE)

Data for NdDy3Ho3 after structural relaxation.

Cell lengths 9.5622, 9.5622, 5.6713 Å; angles 90.00, 90.00, 120.00 degrees
With the nearest neighbours (Å) after each atom.
Space group P6_3/m (No. 176)
One atom of each set of equivalent atoms:
Nd: 0.3333 0.6667 0.2500  9 Ho 3.52-3.62, 3 Dy 3.62
Dy: 0.0487 0.2371 0.2500  6 Dy 3.51-3.59, 5 Ho 3.53-3.63, 1 Nd 3.62
Ho: 0.0959 0.4766 0.7500  3 Nd 3.52-3.62, 4 Ho 3.53-3.60, 5 Dy 3.53-3.63

Final energy   -4.60 eV per atom
ΔE_f   0.0118 eV/atom
ΔE to the lowest computed polymorph   0 meV/atom